DFT (GGA-PBE) results for an optimized crystal structure of Tb3Ga6Pd20.

Results
Space-group type   Fm-3m, No. 225
N(E_F)   16.062 states/eV/f.u.
Formation energy from the elements   -672 meV per atom

abc: 8.8392 8.8392 8.8392
angles: 60.00 60.00 60.00
Fractional positions:
Tb  0.0000  0.0000  0.0000
Ga  0.7263  0.2737  0.7263
Pd  0.3784  0.3784  0.3784
Pd  0.0000  0.6560  0.0000
Pd  0.6216  0.6216  0.1351
Tb  0.7500  0.7500  0.7500
Pd  0.3440  0.0000  0.0000
Ga  0.7263  0.7263  0.2737
Tb  0.2500  0.2500  0.2500
Pd  0.0000  0.3440  0.0000
Ga  0.7263  0.2737  0.2737
Ga  0.2737  0.2737  0.7263
Pd  0.0000  0.0000  0.6560
Pd  0.1351  0.6216  0.6216
Pd  0.6216  0.1351  0.6216
Ga  0.2737  0.7263  0.7263
Ga  0.2737  0.7263  0.2737
Pd  0.3440  0.6560  0.0000
Pd  0.6216  0.6216  0.6216
Pd  0.0000  0.0000  0.3440
Pd  0.3784  0.8649  0.3784
Pd  0.3784  0.3784  0.8649
Pd  0.6560  0.0000  0.0000
Pd  0.0000  0.3440  0.6560
Pd  0.0000  0.6560  0.3440
Pd  0.6560  0.0000  0.3440
Pd  0.3440  0.0000  0.6560
Pd  0.6560  0.3440  0.0000
Pd  0.8649  0.3784  0.3784

DFT (GGA-PBE) results for an optimized crystal structure of Tb3Ga5Pd6.

Results
Space-group type   Pmmn, No. 59
N(E_F)   7.347 states/eV/f.u.
Formation energy from the elements   -824 meV per atom

abc: 4.3576 8.9668 13.1309
angles: 90.00 90.00 90.00
Fractional positions:
Pd  0.0000  0.4228  0.5000
Pd  0.5000  0.0237  0.6461
Tb  0.5000  0.7550  0.8035
Pd  0.0000  0.5965  0.3136
Pd  0.5000  0.4035  0.8136
Ga  0.5000  0.1215  0.8400
Ga  0.5000  0.4689  0.3807
Pd  0.0000  0.0473  0.5000
Ga  0.5000  0.1215  0.1600
Tb  0.0000  0.2450  0.6965
Ga  0.5000  0.2199  0.5000
Tb  0.0000  0.2379  0.0000
Pd  0.5000  0.0237  0.3539
Pd  0.0000  0.9763  0.1461
Pd  0.5000  0.4035  0.1864
Pd  0.5000  0.9527  0.0000
Tb  0.0000  0.2450  0.3035
Ga  0.5000  0.4689  0.6193
Ga  0.0000  0.5311  0.8807
Pd  0.0000  0.9763  0.8539
Ga  0.0000  0.7801  0.0000
Tb  0.5000  0.7621  0.5000
Pd  0.5000  0.5772  0.0000
Tb  0.5000  0.7550  0.1965
Ga  0.0000  0.8785  0.6600
Pd  0.0000  0.5965  0.6864
Ga  0.0000  0.8785  0.3400
Ga  0.0000  0.5311  0.1193

- Which of these has the lowest formation energy from the elements?
  Tb3Ga5Pd6